VASP calculation (GGA-PBE) on a geometry-optimized Ba2PHPt6 structure.

Structure (POSCAR):
```
Ba2PHPt6
1.0
5.7774 0.0000 0.0000
0.1109 6.2835 0.0000
2.8423 2.3177 5.3341
Ba P H Pt
2 1 1 6
direct
0.1907 0.3025 0.1197
0.8093 0.6975 0.8803
0.5000 0.0000 0.5000
0.0000 0.5000 0.5000
0.1904 0.2668 0.6200
0.2742 0.8766 0.9483
0.3239 0.7405 0.3809
0.6761 0.2595 0.6191
0.7258 0.1234 0.0517
0.8096 0.7332 0.3800
```

Calculated values
Total moment ... 0.00 Bohr magnetons per cell
Mass density ... 12.67 g/cm³
Symmetry ... P-1, No. 2
Total DFT energy (no corrections) ... -54.021 eV per formula unit